No. 1
! Li2Zn5AgPd2 | Alexandria via LeMat-Bulk | PBE-GGA | relaxed; values from VASP
&SYSTEM
  ibrav = 0, nat = 20, ntyp = 4
/
ATOMIC_SPECIES
Li 6.94 Li.upf
Zn 65.41 Zn.upf
Ag 107.87 Ag.upf
Pd 106.42 Pd.upf
ATOMIC_POSITIONS angstrom
Li 1.521 2.881 0.000
Li 2.881 7.282 0.000
Li 5.922 1.521 0.000
Li 7.282 5.922 0.000
Zn 0.000 4.401 2.057
Zn 0.663 7.031 2.057
Zn 1.772 0.663 2.057
Zn 2.630 5.065 2.057
Zn 3.738 2.630 2.057
Zn 4.401 0.000 2.057
Zn 5.065 6.173 2.057
Zn 6.173 3.738 2.057
Zn 7.031 8.139 2.057
Zn 8.139 1.772 2.057
Ag 0.000 0.000 0.000
Ag 4.401 4.401 0.000
Pd 1.082 5.483 0.000
Pd 3.320 1.082 0.000
Pd 5.483 7.721 0.000
Pd 7.721 3.320 0.000
CELL_PARAMETERS angstrom
8.803 0.000 0.000
0.000 8.803 0.000
0.000 0.000 4.114
! mass density	6.9	g/cm3
! VASP energy	-2.6334	eV per atom
! energy of formation	-0.2900	eV per atom

=====

No. 2
! K2LaBeIr | Alexandria via LeMat-Bulk | PBE-GGA | relaxed; values from VASP
&SYSTEM
  ibrav = 0, nat = 5, ntyp = 4
/
ATOMIC_SPECIES
K 39.10 K.upf
La 138.91 La.upf
Be 9.01 Be.upf
Ir 192.22 Ir.upf
ATOMIC_POSITIONS angstrom
K 0.000 2.975 0.000
K 2.975 0.000 0.000
La 0.000 0.000 2.170
Be 2.975 2.975 2.170
Ir 2.975 2.975 0.000
CELL_PARAMETERS angstrom
5.949 0.000 0.000
0.000 5.949 0.000
0.000 0.000 4.339
! mass density	4.5	g/cm3
! VASP energy	-3.0400	eV per atom
! energy of formation	0.9020	eV per atom

=====

No. 3
! Pr3Dy5S12 | Alexandria via LeMat-Bulk | PBE-GGA | relaxed; values from VASP
&SYSTEM
  ibrav = 0, nat = 80, ntyp = 3
/
ATOMIC_SPECIES
Pr 140.91 Pr.upf
Dy 162.50 Dy.upf
S 32.06 S.upf
ATOMIC_POSITIONS angstrom
Pr 4.080 2.040 0.000
Pr 8.161 4.080 -2.040
Pr 2.040 0.000 4.080
Pr 10.201 0.000 4.080
Pr 0.000 4.080 2.040
Pr 4.080 -2.040 8.161
Pr 4.080 10.201 0.000
Pr 8.161 4.080 6.120
Pr -2.040 8.161 4.080
Pr 6.120 8.161 4.080
Pr 0.000 4.080 10.201
Pr 4.080 6.120 8.161
Dy 0.000 0.000 0.000
Dy 4.080 4.080 -4.080
Dy 4.080 -4.080 4.080
Dy 8.161 0.000 0.000
Dy 12.241 2.040 0.000
Dy 8.161 -4.080 6.120
Dy 6.120 8.161 -4.080
Dy 6.120 0.000 4.080
Dy 4.080 6.120 0.000
Dy 8.161 4.080 2.040
Dy -4.080 4.080 4.080
Dy 0.000 8.161 0.000
Dy 0.000 0.000 8.161
Dy 4.080 4.080 4.080
Dy 0.000 4.080 6.120
Dy 4.080 2.040 8.161
Dy 2.040 8.161 4.080
Dy 2.040 0.000 12.241
Dy 0.000 12.241 2.040
Dy -4.080 6.120 8.161
S 2.484 -0.366 1.097
S 9.757 5.177 -4.446
S 7.795 -1.097 2.484
S 12.607 -1.597 2.984
S 10.644 0.366 1.097
S 9.757 -2.984 4.446
S 1.097 2.484 -0.366
S 11.144 3.714 -1.597
S 5.177 4.446 -1.597
S 7.064 2.484 0.366
S -0.366 1.097 2.484
S 4.446 -1.597 5.177
S 7.795 7.064 -2.484
S 4.446 1.597 2.984
S 7.064 -2.484 7.795
S 5.177 -4.446 9.757
S 2.984 4.446 1.597
S 9.257 5.677 0.366
S 2.484 7.795 -1.097
S 9.757 2.984 3.714
S 4.446 9.757 -2.984
S 7.795 1.097 5.677
S 1.597 2.984 4.446
S 2.484 0.366 7.064
S 5.677 7.795 1.097
S 6.564 5.177 3.714
S 0.366 7.064 2.484
S 3.714 -1.597 11.144
S -1.597 5.177 4.446
S 5.677 0.366 9.257
S -1.097 2.484 7.795
S 5.177 3.714 6.564
S 2.984 12.607 -1.597
S 1.097 10.644 0.366
S 3.714 6.564 5.177
S 0.366 1.097 10.644
S 3.714 9.757 2.984
S 8.526 7.064 5.677
S 1.097 5.677 7.795
S 2.984 3.714 9.757
S -2.984 4.446 9.757
S 7.064 5.677 8.526
S -1.597 11.144 3.714
S -2.484 7.795 7.064
S -4.446 9.757 5.177
S 0.366 9.257 5.677
S -1.597 2.984 12.607
S 5.677 8.526 7.064
CELL_PARAMETERS angstrom
-8.161 8.161 8.161
8.161 -8.161 8.161
8.161 8.161 -8.161
! mass density	5.0	g/cm3
! VASP energy	-6.2652	eV per atom

=====

No. 4
! MgCrP2Ru | Alexandria via LeMat-Bulk | PBE-GGA | relaxed; values from VASP
&SYSTEM
  ibrav = 0, nat = 5, ntyp = 4
/
ATOMIC_SPECIES
Mg 24.30 Mg.upf
Cr 52.00 Cr.upf
P 30.97 P.upf
Ru 101.07 Ru.upf
ATOMIC_POSITIONS angstrom
Mg 0.000 0.000 0.000
Cr 0.000 0.000 2.172
P 0.000 2.263 0.000
P 2.263 0.000 0.000
Ru 2.263 2.263 2.172
CELL_PARAMETERS angstrom
4.525 0.000 0.000
0.000 4.525 0.000
0.000 0.000 4.345
! mass density	4.5	g/cm3
! VASP energy	-4.4369	eV per atom
! energy of formation	1.8258	eV per atom

=====

No. 5
! Ac4DyY3Se8 | Alexandria via LeMat-Bulk | PBE-GGA | relaxed; values from VASP
&SYSTEM
  ibrav = 0, nat = 16, ntyp = 4
/
ATOMIC_SPECIES
Ac 227.00 Ac.upf
Dy 162.50 Dy.upf
Y 88.91 Y.upf
Se 78.96 Se.upf
ATOMIC_POSITIONS angstrom
Ac 0.000 0.000 0.000
Ac -2.083 -1.203 7.346
Ac -2.083 1.203 14.692
Ac 0.000 2.405 7.346
Dy 0.000 0.000 11.019
Y -4.166 0.000 11.019
Y -2.083 1.203 3.673
Y 2.083 1.203 3.673
Se 0.000 0.000 5.288
Se -2.081 -1.201 12.632
Se 0.000 -2.402 9.407
Se -2.081 1.201 9.407
Se 2.081 -1.201 12.632
Se 0.000 2.402 12.632
Se 2.081 1.201 9.407
Se 0.000 0.000 16.751
CELL_PARAMETERS angstrom
4.166 2.405 7.346
-4.166 2.405 7.346
0.000 -4.811 7.346
! mass density	7.4	g/cm3
! VASP energy	-6.0751	eV per atom

=====

No. 6
! YVBi3 | Alexandria via LeMat-Bulk | PBE-GGA | relaxed; values from VASP
&SYSTEM
  ibrav = 0, nat = 5, ntyp = 3
/
ATOMIC_SPECIES
Y 88.91 Y.upf
V 50.94 V.upf
Bi 208.98 Bi.upf
ATOMIC_POSITIONS angstrom
Y 0.000 0.000 0.000
V 2.672 2.672 2.672
Bi 0.000 2.672 2.672
Bi 2.672 0.000 2.672
Bi 2.672 2.672 0.000
CELL_PARAMETERS angstrom
5.345 0.000 0.000
0.000 5.345 0.000
0.000 0.000 5.345
! mass density	8.3	g/cm3
! VASP energy	-5.2122	eV per atom
! energy of formation	0.2329	eV per atom